A plane-wave DFT calculation with PBE was carried out for a relaxed structure of Pr2YTh.

Crystal system: trigonal
Polymorph energy (0 for the lowest one) (meV per atom): 10
Total magnetization (μB/atom): 0.000
Formation enthalpy at 0 K (eV/atom): 0.0437
VASP energy (eV per atom): -5.817
Fermi-level density of states (states/eV/cell): 6.86

Lattice parameters (Å, degrees): 3.644 3.644 12.090 81.33 81.33 60.00
Positions (direct):
Y 0.500 0.500 0.500
Th 0.000 0.000 0.000
Pr 0.749 0.749 0.754
Pr 0.251 0.251 0.246